# KTa2Rh PBE-GGA relaxed
data_KTa2Rh
_space_group_name_H-M_alt 'P 1'
_space_group_IT_number 1
_cell_length_a 5.675
_cell_length_b 5.675
_cell_length_c 2.823
_cell_angle_alpha 90.00
_cell_angle_beta 90.00
_cell_angle_gamma 121.61
loop_
_space_group_symop_operation_xyz
'x,y,z'
loop_
_atom_site_label
_atom_site_fract_x
_atom_site_fract_y
_atom_site_fract_z
K1 0.000 0.000 0.000
Ta1 0.000 0.500 0.500
Ta2 0.500 0.000 0.500
Rh1 0.500 0.500 0.000
# - space-group type = Cmmm, No. 65
# - excess energy over the best structure of this formula in the dataset (meV/atom) = 828
# - crystal system = orthorhombic
# - calculated formation energy (eV per formula unit) = 4.5
# - E (eV/atom) = -6.914